1.
GeB3Pd: relaxed, GGA-PBEsol.

Structure (POSCAR):
```
GeB3Pd
1.0
4.045 0.000 0.000
0.000 4.045 0.000
0.000 0.000 4.045
Ge B Pd
1 3 1
direct
0.000 0.000 0.000 Ge
0.000 0.000 0.500 B
0.000 0.500 0.000 B
0.500 0.000 0.000 B
0.500 0.500 0.500 Pd
```

Output
D(E_F) ... 2.6 states/eV/cell
Space-group type ... Pm-3m, No. 221
Total energy ... -4.513 eV/atom

***

2.
Ge2BPdS: relaxed, GGA-PBEsol.

Structure (POSCAR):
```
Ge2BPdS
1.0
4.834 0.000 0.000
0.000 4.834 0.000
0.000 0.000 3.553
Ge B Pd S
2 1 1 1
direct
0.000 0.500 0.000 Ge
0.500 0.000 0.000 Ge
0.000 0.000 0.500 B
0.500 0.500 0.500 Pd
0.000 0.000 0.000 S
```

Output
D(E_F) ... 2.2 states/eV/cell
Space-group type ... P4/mmm, No. 123
Energy relative to the elements, uncorrected ... 802 meV per atom

***

3.
GeB3Pt: relaxed, GGA-PBEsol.

Structure (POSCAR):
```
GeB3Pt
1.0
4.119 0.000 0.000
0.000 4.119 0.000
0.000 0.000 4.119
Ge B Pt
1 3 1
direct
0.000 0.000 0.000 Ge
0.000 0.500 0.500 B
0.500 0.000 0.500 B
0.500 0.500 0.000 B
0.500 0.500 0.500 Pt
```

Output
D(E_F) ... 1.8 states/eV/cell
Space-group type ... Pm-3m, No. 221
Total energy ... -5.369 eV/atom

***

4.
Ge2BPt2: relaxed, GGA-PBEsol.

Structure (POSCAR):
```
Ge2BPt2
1.0
-1.944 1.944 5.522
1.944 -1.944 5.522
1.944 1.944 -5.522
Ge B Pt
2 1 2
direct
0.109 0.109 0.000 Ge
0.891 0.891 0.000 Ge
0.500 0.500 0.000 B
0.250 0.750 0.500 Pt
0.750 0.250 0.500 Pt
```

Output
D(E_F) ... 2.6 states/eV/cell
Space-group type ... I4/mmm, No. 139
Total energy ... -5.564 eV/atom

***

5.
GeB2Pt: relaxed, GGA-PBEsol.

Structure (POSCAR):
```
GeB2Pt
1.0
-2.382 2.382 4.883
2.382 -2.382 4.883
2.382 2.382 -4.883
Ge B Pt
2 4 2
direct
0.000 0.000 0.000 Ge
0.750 0.250 0.500 Ge
0.136 0.625 0.011 B
0.375 0.386 0.511 B
0.614 0.125 0.989 B
0.875 0.864 0.489 B
0.250 0.750 0.500 Pt
0.500 0.500 0.000 Pt
```

Output
D(E_F) ... 3.0 states/eV/cell
Space-group type ... I-42d, No. 122
Total energy ... -6.162 eV/atom

***

6.
GeBPt3: relaxed, GGA-PBEsol.

Structure (POSCAR):
```
GeBPt3
1.0
4.589 0.000 0.000
0.000 4.589 0.000
0.000 0.000 4.589
Ge B Pt
1 1 3
direct
0.000 0.000 0.000 Ge
0.500 0.500 0.500 B
0.000 0.000 0.500 Pt
0.000 0.500 0.000 Pt
0.500 0.000 0.000 Pt
```

Output
D(E_F) ... 5.4 states/eV/cell
Space-group type ... Pm-3m, No. 221
Total energy ... -5.033 eV/atom

***

7.
ReGeB3: relaxed, GGA-PBEsol.

Structure (POSCAR):
```
ReGeB3
1.0
4.125 0.000 0.000
0.000 4.125 0.000
0.000 0.000 4.125
Re Ge B
1 1 3
direct
0.000 0.000 0.000 Re
0.500 0.500 0.500 Ge
0.000 0.000 0.500 B
0.000 0.500 0.000 B
0.500 0.000 0.000 B
```

Output
D(E_F) ... 1.6 states/eV/cell
Space-group type ... Pm-3m, No. 221
Total energy ... -6.727 eV/atom

***

8.
ReGe2BSe: relaxed, GGA-PBEsol.

Structure (POSCAR):
```
ReGe2BSe
1.0
4.119 0.000 0.000
0.000 4.119 0.000
0.000 0.000 4.544
Re Ge B Se
1 2 1 1
direct
0.000 0.000 0.000 Re
0.000 0.500 0.500 Ge
0.500 0.000 0.500 Ge
0.500 0.500 0.500 B
0.500 0.500 0.000 Se
```

Output
D(E_F) ... 3.7 states/eV/cell
Space-group type ... P4/mmm, No. 123
Energy relative to the elements, uncorrected ... 1213 meV per atom

***

9.
SrRe2GeB: relaxed, GGA-PBEsol.

Structure (POSCAR):
```
SrRe2GeB
1.0
4.165 0.000 0.000
0.000 4.165 0.000
0.000 0.000 5.013
Sr Re Ge B
1 2 1 1
direct
0.000 0.000 0.000 Sr
0.000 0.500 0.500 Re
0.500 0.000 0.500 Re
0.500 0.500 0.000 Ge
0.000 0.000 0.500 B
```

Output
D(E_F) ... 4.6 states/eV/cell
Space-group type ... P4/mmm, No. 123
Total energy ... -7.388 eV/atom

***

10.
Y2GeBRh: relaxed, GGA-PBEsol.

Structure (POSCAR):
```
Y2GeBRh
1.0
5.260 0.000 0.000
0.000 5.260 0.000
0.000 0.000 4.395
Y Ge B Rh
2 1 1 1
direct
0.000 0.500 0.000 Y
0.500 0.000 0.000 Y
0.000 0.000 0.000 Ge
0.500 0.500 0.500 B
0.000 0.000 0.500 Rh
```

Output
D(E_F) ... 4.3 states/eV/cell
Space-group type ... P4/mmm, No. 123
Total energy ... -6.068 eV/atom

***

11.
SiGeBRu2: relaxed, GGA-PBEsol.

Structure (POSCAR):
```
SiGeBRu2
1.0
4.440 0.000 0.000
0.000 4.440 0.000
0.000 0.000 3.655
Si Ge B Ru
1 1 1 2
direct
0.000 0.000 0.000 Si
0.500 0.500 0.500 Ge
0.000 0.000 0.500 B
0.000 0.500 0.000 Ru
0.500 0.000 0.000 Ru
```

Output
D(E_F) ... 4.1 states/eV/cell
Space-group type ... P4/mmm, No. 123
Energy relative to the elements, uncorrected ... 929 meV per atom

***

12.
SiGeB2S: relaxed, GGA-PBEsol.

Structure (POSCAR):
```
SiGeB2S
1.0
3.809 0.000 0.000
0.000 3.809 0.000
0.000 0.000 4.635
Si Ge B S
1 1 2 1
direct
0.000 0.000 0.000 Si
0.500 0.500 0.000 Ge
0.000 0.500 0.500 B
0.500 0.000 0.500 B
0.000 0.000 0.500 S
```

Output
D(E_F) ... 2.0 states/eV/cell
Space-group type ... P4/mmm, No. 123
Energy relative to the elements, uncorrected ... 1268 meV per atom

***

13.
TiGe2BS: relaxed, GGA-PBEsol.

Structure (POSCAR):
```
TiGe2BS
1.0
4.115 0.000 0.000
0.000 4.115 0.000
0.000 0.000 4.587
Ti Ge B S
1 2 1 1
direct
0.000 0.000 0.000 Ti
0.000 0.500 0.500 Ge
0.500 0.000 0.500 Ge
0.000 0.000 0.500 B
0.500 0.500 0.000 S
```

Output
D(E_F) ... 4.0 states/eV/cell
Space-group type ... P4/mmm, No. 123
Energy relative to the elements, uncorrected ... 301 meV per atom

***

14.
GeB3Se: relaxed, GGA-PBEsol.

Structure (POSCAR):
```
GeB3Se
1.0
4.147 0.000 0.000
0.000 4.147 0.000
0.000 0.000 4.147
Ge B Se
1 3 1
direct
0.000 0.000 0.000 Ge
0.000 0.000 0.500 B
0.000 0.500 0.000 B
0.500 0.000 0.000 B
0.500 0.500 0.500 Se
```

Output
D(E_F) ... 2.0 states/eV/cell
Space-group type ... Pm-3m, No. 221
Energy relative to the elements, uncorrected ... 1736 meV per atom
Distance to the lowest polymorph of the same formula ... 0 meV per atom

***

15.
SiGeB3: relaxed, GGA-PBEsol.

Structure (POSCAR):
```
SiGeB3
1.0
4.073 0.000 0.000
0.000 4.073 0.000
0.000 0.000 4.073
Si Ge B
1 1 3
direct
0.000 0.000 0.000 Si
0.500 0.500 0.500 Ge
0.000 0.500 0.500 B
0.500 0.000 0.500 B
0.500 0.500 0.000 B
```

Output
D(E_F) ... 2.6 states/eV/cell
Space-group type ... Pm-3m, No. 221
Energy relative to the elements, uncorrected ... 1965 meV per atom

***

16.
Sn3GeB: relaxed, GGA-PBEsol.

Structure (POSCAR):
```
Sn3GeB
1.0
4.756 0.000 0.000
0.000 4.756 0.000
0.000 0.000 4.756
Sn Ge B
3 1 1
direct
0.000 0.000 0.500 Sn
0.000 0.500 0.000 Sn
0.500 0.000 0.000 Sn
0.500 0.500 0.500 Ge
0.000 0.000 0.000 B
```

Output
D(E_F) ... 1.6 states/eV/cell
Space-group type ... Pm-3m, No. 221
Total energy ... -4.382 eV/atom

***

17.
SnGeB2W: relaxed, GGA-PBEsol.

Structure (POSCAR):
```
SnGeB2W
1.0
4.276 0.000 0.000
0.000 4.276 0.000
0.000 0.000 4.869
Sn Ge B W
1 1 2 1
direct
0.000 0.000 0.000 Sn
0.500 0.500 0.000 Ge
0.000 0.500 0.500 B
0.500 0.000 0.500 B
0.500 0.500 0.500 W
```

Output
D(E_F) ... 2.0 states/eV/cell
Space-group type ... P4/mmm, No. 123
Total energy ... -6.380 eV/atom

***

18.
TaGeB2: relaxed, GGA-PBEsol.

Structure (POSCAR):
```
TaGeB2
1.0
-2.877 2.877 2.909
2.877 -2.877 2.909
2.877 2.877 -2.909
Ta Ge B
2 2 4
direct
0.000 0.000 0.000 Ta
0.750 0.250 0.500 Ta
0.250 0.750 0.500 Ge
0.500 0.500 0.000 Ge
0.159 0.125 0.534 B
0.375 0.841 0.966 B
0.591 0.625 0.466 B
0.875 0.409 0.034 B
```

Output
D(E_F) ... 1.1 states/eV/cell
Space-group type ... I-42d, No. 122
Total energy ... -7.418 eV/atom

***

19.
Ta5GeB2: relaxed, GGA-PBEsol.

Structure (POSCAR):
```
Ta5GeB2
1.0
-3.109 3.109 5.787
3.109 -3.109 5.787
3.109 3.109 -5.787
Ta Ge B
10 2 4
direct
0.000 0.000 0.000 Ta
0.028 0.528 0.832 Ta
0.197 0.028 0.500 Ta
0.303 0.803 0.832 Ta
0.472 0.303 0.500 Ta
0.500 0.500 0.000 Ta
0.528 0.697 0.500 Ta
0.697 0.197 0.168 Ta
0.803 0.972 0.500 Ta
0.972 0.472 0.168 Ta
0.250 0.250 0.000 Ge
0.750 0.750 0.000 Ge
0.119 0.381 0.500 B
0.381 0.881 0.261 B
0.619 0.119 0.739 B
0.881 0.619 0.500 B
```

Output
D(E_F) ... 5.7 states/eV/cell
Space-group type ... I4/mcm, No. 140
Total energy ... -10.860 eV/atom

***

20.
GeBTe3: relaxed, GGA-PBEsol.

Structure (POSCAR):
```
GeBTe3
1.0
4.824 0.000 0.000
0.000 4.824 0.000
0.000 0.000 4.824
Ge B Te
1 1 3
direct
0.000 0.000 0.000 Ge
0.500 0.500 0.500 B
0.000 0.500 0.500 Te
0.500 0.000 0.500 Te
0.500 0.500 0.000 Te
```

Output
D(E_F) ... 3.7 states/eV/cell
Space-group type ... Pm-3m, No. 221
Energy relative to the elements, uncorrected ... 657 meV per atom